The following is a GGA-PBE calculation of a geometry-optimized DyPuTe2 structure, from Alexandria.

Calculated values
formation energy without anion corrections	-1.1544	eV per atom
total moment	5.57	μB per formula unit

a b c (Å): 4.2278 4.2278 23.3610
angles (deg): 90.00 90.00 120.00
Space group R3m (No. 160, hexagonal axes)
Inequivalent atoms, fractional coordinates:
Dy: 0.0000 0.0000 0.0000 [3 per cell]
Pu: 0.0000 0.0000 0.1726 [3 per cell]
Te: 0.0000 0.0000 0.5866 [3 per cell]
Te: 0.0000 0.0000 0.7518 [3 per cell]

***

The following is a GGA-PBE calculation of a geometry-optimized TlCuBi3 structure, from Alexandria.

Calculated values
total moment	0.00	μB per formula unit
calculated formation energy	302	meV per atom

a b c (Å): 5.394 5.394 5.394
angles (deg): 90.00 90.00 90.00
Space group Pm-3m (No. 221)
Inequivalent atoms, fractional coordinates:
Tl: 0.000 0.000 0.000 [1 per cell]
Cu: 0.500 0.500 0.500 [1 per cell]
Bi: 0.000 0.500 0.500 [3 per cell]

***

The following is a GGA-PBE calculation of a geometry-optimized PrNd5Tm2Th structure, from Alexandria.

Calculated values
total moment	0.00	μB per formula unit
calculated formation energy	164	meV per atom

a b c (Å): 5.720 20.530 10.585
angles (deg): 90.00 90.00 90.00
Space group Cmc2_1 (No. 36)
Inequivalent atoms, fractional coordinates:
Pr: 0.000 0.089 0.000 [4 per cell]
Nd: 0.000 0.023 0.295 [4 per cell]
Nd: 0.000 0.113 0.581 [4 per cell]
Nd: 0.000 0.208 0.257 [4 per cell]
Nd: 0.000 0.223 0.868 [4 per cell]
Nd: 0.000 0.485 0.576 [4 per cell]
Tm: 0.000 0.384 0.871 [4 per cell]
Tm: 0.000 0.387 0.290 [4 per cell]
Th: 0.000 0.302 0.567 [4 per cell]

***

The following is a GGA-PBE calculation of a geometry-optimized Ba2SnHgTe5 structure, from Alexandria.

Calculated values
formation energy without anion corrections	-0.8465	eV per atom
total moment	0.00	μB per formula unit

a b c (Å): 4.652 22.517 12.734
angles (deg): 90.00 90.00 90.00
Space group Cmc2_1 (No. 36)
Inequivalent atoms, fractional coordinates:
Ba: 0.000 0.114 0.000 [4 per cell]
Ba: 0.000 0.115 0.414 [4 per cell]
Sn: 0.000 0.236 0.702 [4 per cell]
Hg: 0.000 0.455 0.134 [4 per cell]
Te: 0.000 0.094 0.721 [4 per cell]
Te: 0.000 0.271 0.041 [4 per cell]
Te: 0.000 0.273 0.363 [4 per cell]
Te: 0.000 0.367 0.707 [4 per cell]
Te: 0.000 0.497 0.434 [4 per cell]

***

The following is a GGA-PBE calculation of a geometry-optimized CsCdRe structure, from Alexandria.

Calculated values
total moment	0.00	μB per formula unit
calculated formation energy	623	meV per atom

a b c (Å): 5.464 3.943 11.534
angles (deg): 90.00 100.82 90.00
Space group P2_1/m (No. 11)
Inequivalent atoms, fractional coordinates:
Cs: 0.175 0.250 0.308 [2 per cell]
Cd: 0.378 0.250 0.904 [2 per cell]
Re: 0.094 0.750 0.047 [2 per cell]

***

The following is a GGA-PBE calculation of a geometry-optimized CrAgOs2 structure, from Alexandria.

Calculated values
total moment	1.16	μB per formula unit
calculated formation energy	673	meV per atom

a b c (Å): 5.451 7.716 2.758
angles (deg): 90.00 90.00 90.00
Space group Cmmm (No. 65)
Inequivalent atoms, fractional coordinates:
Cr: 0.000 0.000 0.000 [2 per cell]
Ag: 0.000 0.500 0.000 [2 per cell]
Os: 0.250 0.250 0.500 [4 per cell]

***

The following is a GGA-PBE calculation of a geometry-optimized SrCuMo2 structure, from Alexandria.

Calculated values
total moment	0.00	μB per formula unit
calculated formation energy	899	meV per atom

a b c (Å): 3.111 4.591 5.316
angles (deg): 90.00 90.00 90.00
Space group Pmmm (No. 47)
Inequivalent atoms, fractional coordinates:
Sr: 0.000 0.000 0.000 [1 per cell]
Cu: 0.500 0.500 0.000 [1 per cell]
Mo: 0.000 0.500 0.500 [1 per cell]
Mo: 0.500 0.000 0.500 [1 per cell]

***

The following is a GGA-PBE calculation of a geometry-optimized BaYSc2 structure, from Alexandria.

Calculated values
total moment	0.00	μB per formula unit
calculated formation energy	338	meV per atom

a b c (Å): 3.4637 3.4637 36.8330
angles (deg): 90.00 90.00 120.00
Space group R-3m (No. 166, hexagonal axes)
Inequivalent atoms, fractional coordinates:
Ba: 0.0000 0.0000 0.0000 [3 per cell]
Y: 0.0000 0.0000 0.5000 [3 per cell]
Sc: 0.0000 0.0000 0.0933 [6 per cell]

***

The following is a GGA-PBE calculation of a geometry-optimized GeAsSe2N structure, from Alexandria.

Calculated values
formation energy without anion corrections	1.5676	eV per atom
total moment	1.92	μB per formula unit

a b c (Å): 5.035 5.035 5.087
angles (deg): 90.00 90.00 90.00
Space group P4/mmm (No. 123)
Inequivalent atoms, fractional coordinates:
Ge: 0.000 0.000 0.000 [1 per cell]
As: 0.000 0.000 0.500 [1 per cell]
Se: 0.000 0.500 0.000 [2 per cell]
N: 0.500 0.500 0.500 [1 per cell]

***

The following is a GGA-PBE calculation of a geometry-optimized LiHg5 structure, from Alexandria.

Calculated values
total moment	0.00	μB per formula unit
calculated formation energy	-119	meV per atom

a b c (Å): 11.810 3.442 7.552
angles (deg): 90.00 108.83 90.00
Space group Cm (No. 8)
Inequivalent atoms, fractional coordinates:
Li: 0.000 0.000 0.000 [2 per cell]
Hg: 0.025 0.000 0.576 [2 per cell]
Hg: 0.175 0.500 0.931 [2 per cell]
Hg: 0.193 0.500 0.355 [2 per cell]
Hg: 0.330 0.000 0.718 [2 per cell]
Hg: 0.398 0.000 0.213 [2 per cell]

***

The following is a GGA-PBE calculation of a geometry-optimized TaTeH2 structure, from Alexandria.

Calculated values
DFT total energy	-70.56	eV for the cell shown
total moment	0.00	μB per formula unit

a b c (Å): 5.855 5.855 5.855
angles (deg): 90.00 90.00 90.00
Space group Fm-3m (No. 225)
Inequivalent atoms, fractional coordinates:
Ta: 0.000 0.000 0.000 [4 per cell]
Te: 0.000 0.000 0.500 [4 per cell]
H: 0.250 0.250 0.250 [8 per cell]